Computed, not measured: crystalline CdHgRh2 at its relaxed geometry at the PBEsol level of DFT.

It has space group R3m (No. 160, hexagonal axes), with a = 2.8678 Å, b = 2.8678 Å, c = 27.8211 Å, α = 90.00°, β = 90.00° and γ = 120.00°. The distinct sites, in fractional coordinates, are Cd at (0.0000, 0.0000, 0.0000), Hg at (0.0000, 0.0000, 0.7624), Rh at (0.0000, 0.0000, 0.2514) and Rh at (0.0000, 0.0000, 0.5130).

As for the spin magnetization: 0.0 μB per formula unit. For the calculated total energy, the calculation gives -4.341 eV/atom.